NiGe4Pd3 PBE relaxed; crystal system = monoclinic; space group = Pm, No. 6; VASP energy = -5.356 eV per atom
1.0
5.838 0.000 0.000
0.000 3.462 0.000
-0.018 0.000 6.317
Ni Ge Pd
1 4 3
Cartesian
0.000 0.000 0.000 Ni
1.051 1.731 1.394 Ge
1.806 0.000 4.692 Ge
4.107 1.731 5.616 Ge
4.795 0.000 2.339 Ge
0.038 1.731 3.903 Pd
2.901 0.000 0.721 Pd
2.935 1.731 3.156 Pd